(1)
## Be3TcMo (PBE-GGA)

Data for crystalline Be3TcMo at its relaxed geometry.

Geometry as POSCAR:
```
Be3TcMo
1.0
4.1056 0.0000 0.0000
0.0000 4.1056 0.0000
0.0000 0.0000 4.1056
Be Tc Mo
3 1 1
direct
0.0000 0.0000 0.5000
0.0000 0.5000 0.0000
0.5000 0.0000 0.0000
0.5000 0.5000 0.5000
0.0000 0.0000 0.0000
```

Output
The calculation puts the total magnetization at 2.14 μB per cell. The offset from the most stable computed form comes out at 1.96 eV/f.u. For the theoretical density, the calculation gives 5.30 Mg/m³. The value obtained for the volume is 69 Å³ per cell. The energy relative to the elements comes out at 1.3685 eV per atom. Its total energy is -5.107 eV per atom.


(2)
## PuSc2As (PBE-GGA)

Data for crystalline PuSc2As at its relaxed geometry.

Geometry as POSCAR:
```
PuSc2As
1.0
1.7951 1.0364 8.8582
-1.7951 1.0364 8.8582
0.0000 -2.0728 8.8582
Pu Sc As
1 2 1
direct
0.0000 0.0000 0.0000
0.2288 0.2288 0.2288
0.7712 0.7712 0.7712
0.5000 0.5000 0.5000
```

Output
The calculation puts the total magnetization at 6.50 μB per cell. For the theoretical density, the calculation gives 6.87 Mg/m³. The value obtained for the volume is 99 Å³ per cell. The energy relative to the elements comes out at -0.4292 eV per atom. Its total energy is -8.340 eV per atom.